Entry from the Alexandria database: Hf2ZrInC after structural relaxation (PBEsol).

Lattice parameters (Å, degrees): 4.990 4.990 5.385 90.00 90.00 90.00
Fractional positions:
Hf (0.000, 0.500, 0.000)
Hf (0.500, 0.000, 0.000)
Zr (0.000, 0.000, 0.000)
In (0.000, 0.000, 0.500)
C (0.500, 0.500, 0.500)

energy of formation from the pure elements = 2386 meV/atom
total DFT energy (no corrections) = -6.158 eV/atom
total magnetic moment = 1.31 Bohr magnetons per cell
N(E_F) = 3.37 states/eV/f.u.

Entry from the Alexandria database: CoWN3 after structural relaxation (PBEsol).

Lattice parameters (Å, degrees): 3.906 3.906 3.906 90.00 90.00 90.00
Fractional positions:
Co (0.000, 0.000, 0.000)
W (0.500, 0.500, 0.500)
N (0.000, 0.500, 0.500)
N (0.500, 0.000, 0.500)
N (0.500, 0.500, 0.000)

total DFT energy (no corrections) = -8.599 eV/atom
total magnetic moment = 3.12 Bohr magnetons per cell
formation energy from raw total energies = 0.826 eV/atom
N(E_F) = 3.07 states/eV/f.u.

Entry from the Alexandria database: TiP2O7 after structural relaxation (PBEsol).

Lattice parameters (Å, degrees): 7.177 8.174 9.380 90.00 109.42 90.00
Fractional positions:
Ti (0.221, 0.009, 0.256)
Ti (0.221, 0.491, 0.756)
Ti (0.779, 0.509, 0.244)
Ti (0.779, 0.991, 0.744)
P (0.179, 0.697, 0.449)
P (0.179, 0.803, 0.949)
P (0.424, 0.237, 0.559)
P (0.424, 0.263, 0.059)
P (0.576, 0.737, 0.941)
P (0.576, 0.763, 0.441)
P (0.821, 0.197, 0.051)
P (0.821, 0.303, 0.551)
O (0.046, 0.581, 0.332)
O (0.046, 0.919, 0.832)
O (0.144, 0.625, 0.896)
O (0.144, 0.875, 0.396)
O (0.165, 0.671, 0.605)
O (0.165, 0.829, 0.105)
O (0.296, 0.183, 0.402)
O (0.296, 0.317, 0.902)
O (0.309, 0.145, 0.124)
O (0.309, 0.355, 0.624)
O (0.400, 0.653, 0.458)
O (0.400, 0.847, 0.958)
O (0.485, 0.593, 0.839)
O (0.485, 0.907, 0.339)
O (0.515, 0.093, 0.661)
O (0.515, 0.407, 0.161)
O (0.600, 0.153, 0.042)
O (0.600, 0.347, 0.542)
O (0.691, 0.645, 0.376)
O (0.691, 0.855, 0.876)
O (0.704, 0.683, 0.098)
O (0.704, 0.817, 0.598)
O (0.835, 0.171, 0.895)
O (0.835, 0.329, 0.395)
O (0.856, 0.125, 0.604)
O (0.856, 0.375, 0.104)
O (0.954, 0.081, 0.168)
O (0.954, 0.419, 0.668)

total DFT energy (no corrections) = -8.154 eV/atom
excess energy over the best structure of this formula in the dataset = 0.01 eV/f.u.
total magnetic moment = 0.00 Bohr magnetons per cell
formation energy from raw total energies = -2.489 eV/atom
N(E_F) = 0.00 states/eV/f.u.

Entry from the Alexandria database: ScFe2Pt2 after structural relaxation (PBEsol).

Lattice parameters (Å, degrees): 6.979 6.979 6.979 151.57 151.57 40.64
Fractional positions:
Sc (0.000, 0.000, 0.000)
Fe (0.250, 0.750, 0.500)
Fe (0.750, 0.250, 0.500)
Pt (0.397, 0.397, 0.000)
Pt (0.603, 0.603, 0.000)

energy of formation from the pure elements = -348 meV/atom
total DFT energy (no corrections) = -8.040 eV/atom
total magnetic moment = 5.50 Bohr magnetons per cell
N(E_F) = 3.27 states/eV/f.u.

Entry from the Alexandria database: TiTlB3 after structural relaxation (PBEsol).

Lattice parameters (Å, degrees): 4.255 4.255 4.255 90.00 90.00 90.00
Fractional positions:
Ti (0.000, 0.000, 0.000)
Tl (0.500, 0.500, 0.500)
B (0.000, 0.000, 0.500)
B (0.000, 0.500, 0.000)
B (0.500, 0.000, 0.000)

energy of formation from the pure elements = 1549 meV/atom
total DFT energy (no corrections) = -4.851 eV/atom
total magnetic moment = 0.00 Bohr magnetons per cell
N(E_F) = 4.38 states/eV/f.u.

Entry from the Alexandria database: CrRh after structural relaxation (PBEsol).

Lattice parameters (Å, degrees): 4.922 4.922 6.165 103.87 103.87 30.86
Fractional positions:
Cr (0.000, 0.000, 0.000)
Cr (0.062, 0.062, 0.605)
Cr (0.674, 0.674, 0.330)
Rh (0.342, 0.342, 0.667)
Rh (0.399, 0.399, 0.275)
Rh (0.714, 0.714, 0.939)

energy of formation from the pure elements = -37 meV/atom
total DFT energy (no corrections) = -9.228 eV/atom
total magnetic moment = 0.00 Bohr magnetons per cell
N(E_F) = 2.30 states/eV/f.u.

Entry from the Alexandria database: MgIn2Rh after structural relaxation (PBEsol).

Lattice parameters (Å, degrees): 5.024 5.024 5.024 130.44 130.44 72.71
Fractional positions:
Mg (0.000, 0.000, 0.000)
In (0.250, 0.750, 0.500)
In (0.750, 0.250, 0.500)
Rh (0.500, 0.500, 0.000)

energy of formation from the pure elements = -272 meV/atom
total DFT energy (no corrections) = -4.227 eV/atom
total magnetic moment = 0.00 Bohr magnetons per cell
N(E_F) = 1.02 states/eV/f.u.

Entry from the Alexandria database: CuHgSe2Br after structural relaxation (PBEsol).

Lattice parameters (Å, degrees): 4.818 4.818 4.809 90.00 90.00 90.00
Fractional positions:
Cu (0.000, 0.000, 0.000)
Hg (0.500, 0.500, 0.500)
Se (0.000, 0.500, 0.000)
Se (0.500, 0.000, 0.000)
Br (0.000, 0.000, 0.500)

total DFT energy (no corrections) = -2.584 eV/atom
total magnetic moment = 0.00 Bohr magnetons per cell
formation energy from raw total energies = 0.310 eV/atom
N(E_F) = 4.15 states/eV/f.u.